# 1
BaTeMo2, relaxed, DFT GGA-PBEsol; uncorrected formation energy = 1.085 eV per atom; space-group type = C2/m; E_tot = -6.217 eV per atom
1.0
3.092 -0.016 0.000
-0.231 5.646 0.000
-1.431 -2.815 4.875
Mo Te Ba
2 1 1
direct
0.000 0.000 0.500
0.500 0.500 0.500
0.500 0.500 0.000
0.000 0.000 0.000

=====

# 2
Ba2TiMo, relaxed, DFT GGA-PBEsol; space-group type = Fm-3m; DFT formation energy = 1.2852 eV/atom; E_tot = -4.812 eV per atom
1.0
5.485 0.000 0.000
2.743 4.750 0.000
2.743 1.583 4.479
Ba Ti Mo
2 1 1
direct
0.750 0.750 0.750
0.250 0.250 0.250
0.000 0.000 0.000
0.500 0.500 0.500

=====

# 3
Ba2Ti2Mo, relaxed, DFT GGA-PBEsol; space-group type = I4/mmm; DFT formation energy = 1.4882 eV/atom; E_tot = -5.054 eV per atom
1.0
-3.240 -1.631 -2.061
-1.331 -1.802 3.519
-1.661 7.621 0.801
Ti Ba Mo
2 2 1
direct
0.571 0.571 0.143
0.429 0.429 0.857
0.250 0.750 0.500
0.750 0.250 0.500
0.000 0.000 0.000

=====

> What is the formula in the first record?

BaTeMo2

=====

> What is the E_tot in the first record?

-6.217 eV per atom

=====

Repeat the third record exactly.
Ba2Ti2Mo, relaxed, DFT GGA-PBEsol; space-group type = I4/mmm; DFT formation energy = 1.4882 eV/atom; E_tot = -5.054 eV per atom
1.0
-3.240 -1.631 -2.061
-1.331 -1.802 3.519
-1.661 7.621 0.801
Ti Ba Mo
2 2 1
direct
0.571 0.571 0.143
0.429 0.429 0.857
0.250 0.750 0.500
0.750 0.250 0.500
0.000 0.000 0.000

=====

> E_tot of number 3 (Ba2Ti2Mo)?

-5.054 eV per atom